[1]
Here is an optimized crystal structure of PtW2Se from Alexandria via LeMat-Bulk. Energies are from PBE.

Lattice parameters (Å, degrees): 4.3838 2.8577 5.3893 74.50 90.00 90.00
Atoms (fractional coordinates):
Pt1 0.0000 0.5663 0.4926
Se1 0.5000 0.9323 0.7623
W1 0.0000 0.8221 0.9790
W2 0.5000 0.1793 0.2661

Properties
As for the electronic total energy: -8.541 eV per atom. As for the formation energy without anion corrections: 0.32 eV per atom. The magnetic moment comes out at 0.0 μB/cell.

=====

[2]
Here is an optimized crystal structure of Ga12Ge3Se5 from Alexandria via LeMat-Bulk. Energies are from PBE.

Lattice parameters (Å, degrees): 13.7748 13.7748 13.7748 109.47 109.47 109.47
Atoms (fractional coordinates):
Ge1 0.7500 0.3750 0.1250
Ge2 0.8750 0.7500 0.1250
Ge3 0.3750 0.7500 0.6250
Ge4 0.2500 0.1250 0.3750
Ge5 0.8750 0.1250 0.2500
Ge6 0.3750 0.6250 0.2500
Ge7 0.6250 0.3750 0.7500
Ge8 0.1250 0.8750 0.7500
Ge9 0.7500 0.8750 0.6250
Ge10 0.6250 0.2500 0.3750
Ge11 0.1250 0.2500 0.8750
Ge12 0.2500 0.6250 0.8750
Se1 0.1250 0.3750 0.2500
Se2 0.0000 0.5000 0.0000
Se3 0.0000 0.0000 0.0000
Se4 0.3750 0.2500 0.1250
Se5 0.5000 0.0000 0.5000
Se6 0.5000 0.5000 0.0000
Se7 0.1250 0.7500 0.3750
Se8 0.7500 0.1250 0.8750
Se9 0.7500 0.6250 0.3750
Se10 0.3750 0.1250 0.7500
Se11 0.6250 0.8750 0.2500
Se12 0.5000 0.5000 0.5000
Se13 0.5000 0.0000 0.0000
Se14 0.0000 0.0000 0.5000
Se15 0.2500 0.3750 0.6250
Se16 0.2500 0.8750 0.1250
Se17 0.0000 0.5000 0.5000
Se18 0.8750 0.2500 0.6250
Se19 0.6250 0.7500 0.8750
Se20 0.8750 0.6250 0.7500
Ga1 0.7306 0.1495 0.0643
Ga2 0.3337 0.5643 0.4147
Ga3 0.9357 0.3505 0.2694
Ga4 0.5643 0.2306 0.1495
Ga5 0.5811 0.7306 0.6663
Ga6 0.9357 0.5853 0.1663
Ga7 0.3337 0.7694 0.4189
Ga8 0.0853 0.9189 0.1495
Ga9 0.5853 0.9357 0.6663
Ga10 0.7306 0.5811 0.1663
Ga11 0.7694 0.4357 0.3505
Ga12 0.8337 0.9147 0.0643
Ga13 0.1495 0.7306 0.5643
Ga14 0.3505 0.4147 0.0811
Ga15 0.0811 0.9147 0.3505
Ga16 0.4189 0.1495 0.5853
Ga17 0.0811 0.1663 0.2306
Ga18 0.4357 0.6663 0.0853
Ga19 0.8337 0.9189 0.2694
Ga20 0.1495 0.4189 0.0853
Ga21 0.3505 0.9357 0.7694
Ga22 0.5853 0.6495 0.4189
Ga23 0.9147 0.8337 0.5643
Ga24 0.7694 0.3337 0.9189
Ga25 0.4147 0.3505 0.5811
Ga26 0.0853 0.1663 0.4357
Ga27 0.2306 0.6663 0.0811
Ga28 0.1663 0.0811 0.7306
Ga29 0.6495 0.0643 0.2306
Ga30 0.8505 0.5811 0.9147
Ga31 0.5643 0.3337 0.9147
Ga32 0.5811 0.8505 0.4147
Ga33 0.9189 0.8337 0.7694
Ga34 0.9189 0.0853 0.6495
Ga35 0.8505 0.2694 0.4357
Ga36 0.1663 0.0853 0.9357
Ga37 0.6495 0.5853 0.9189
Ga38 0.4147 0.0643 0.3337
Ga39 0.2694 0.4189 0.8337
Ga40 0.2306 0.5643 0.6495
Ga41 0.9147 0.0811 0.8505
Ga42 0.6663 0.2306 0.5811
Ga43 0.4357 0.7694 0.8505
Ga44 0.0643 0.4147 0.8337
Ga45 0.4189 0.2694 0.3337
Ga46 0.0643 0.6495 0.7306
Ga47 0.6663 0.4357 0.5853
Ga48 0.2694 0.8505 0.9357

Properties
As for the electronic total energy: -3.419 eV per atom. As for the formation energy without anion corrections: -0.04 eV per atom. The magnetic moment comes out at 0.0 μB/cell.

=====

[3]
Here is an optimized crystal structure of Ir2RuSe from Alexandria via LeMat-Bulk. Energies are from PBE.

Lattice parameters (Å, degrees): 2.7774 2.7774 9.3937 90.00 90.00 120.77
Last column: magnetic moment on the atom in μB.
Atoms (fractional coordinates):
Ir1 0.0000 0.0000 0.0090  0.10
Ir2 0.0000 0.0000 0.4910  0.10
Ru1 0.5000 0.5000 0.2500  0.65
Se1 0.5000 0.5000 0.7500  0.01

Properties
As for the electronic total energy: -7.057 eV per atom. As for the formation energy without anion corrections: 0.56 eV per atom. The magnetic moment comes out at 0.9 μB/cell.